This record from Alexandria via LeMat-Bulk describes an optimized crystal structure of MoAsRu. The functional is PBE.

Geometry as POSCAR:
```
MoAsRu
1.0
6.708 0.000 -0.005
0.000 3.075 0.000
-1.789 0.000 9.117
Ru As Mo
4 4 4
Direct
0.530 0.500 0.065 Ru
0.249 0.500 0.743 Ru
0.530 0.000 0.565 Ru
0.249 0.000 0.243 Ru
0.624 0.500 0.809 As
0.624 0.000 0.309 As
0.235 0.500 0.464 As
0.235 0.000 0.964 As
0.915 0.000 0.760 Mo
0.863 0.000 0.038 Mo
0.915 0.500 0.260 Mo
0.863 0.500 0.538 Mo
```

Results
* symmetry: No. 8
* DFT total energy: -99.90 eV for the cell shown
* crystal system: monoclinic

This record from Alexandria via LeMat-Bulk describes an optimized crystal structure of MoAs2Ru. The functional is PBE.

Geometry as POSCAR:
```
MoAs2Ru
1.0
4.860 0.016 -0.001
1.636 4.577 -0.001
-3.249 -2.297 2.800
Mo As Ru
1 2 1
Direct
0.499 0.501 0.000 Mo
0.001 0.999 0.000 As
0.250 0.750 0.500 As
0.750 0.250 0.500 Ru
```

Results
* symmetry: No. 5
* DFT total energy: -28.49 eV for the cell shown
* crystal system: monoclinic
* distance to the lowest polymorph of the same formula: 1.28 eV/f.u.

This record from Alexandria via LeMat-Bulk describes an optimized crystal structure of MoAsRu. The functional is PBE.

Geometry as POSCAR:
```
MoAsRu
1.0
6.719 -0.021 0.015
5.889 2.696 0.002
0.829 -0.908 2.561
Mo Ru As
1 1 1
Direct
0.332 0.332 0.668 Mo
0.666 0.666 0.334 Ru
0.002 0.002 0.998 As
```

Results
* symmetry: No. 42
* DFT total energy: -23.72 eV for the cell shown
* crystal system: orthorhombic

This record from Alexandria via LeMat-Bulk describes an optimized crystal structure of MoAsRu. The functional is PBE.

Geometry as POSCAR:
```
MoAsRu
1.0
4.169 0.000 0.000
2.084 3.610 0.000
2.084 1.203 3.404
As Ru Mo
1 1 1
Direct
0.000 0.000 0.000 As
0.750 0.750 0.750 Ru
0.500 0.500 0.500 Mo
```

Results
* symmetry: No. 216
* DFT total energy: -24.93 eV for the cell shown
* crystal system: cubic

This record from Alexandria via LeMat-Bulk describes an optimized crystal structure of MoAsRu. The functional is PBE.

Geometry as POSCAR:
```
MoAsRu
1.0
-4.014 -1.743 -0.088
0.701 -1.737 2.469
-1.132 5.295 4.047
As Mo Ru
2 2 2
Direct
0.192 0.750 0.667 As
0.808 0.250 0.333 As
0.759 0.750 0.018 Mo
0.241 0.250 0.982 Mo
0.319 0.750 0.319 Ru
0.681 0.250 0.681 Ru
```

Results
* symmetry: No. 11
* DFT total energy: -50.08 eV for the cell shown
* crystal system: monoclinic

This record from Alexandria via LeMat-Bulk describes an optimized crystal structure of Mo2AsRu. The functional is PBE.

Geometry as POSCAR:
```
Mo2AsRu
1.0
4.405 0.000 0.000
2.202 3.814 0.000
2.202 1.271 3.596
Ru As Mo
1 1 2
Direct
0.750 0.750 0.750 Ru
0.500 0.500 0.500 As
0.250 0.250 0.250 Mo
0.000 0.000 0.000 Mo
```

Results
* symmetry: No. 216
* DFT total energy: -34.88 eV for the cell shown
* crystal system: cubic

This record from Alexandria via LeMat-Bulk describes an optimized crystal structure of MoAsRu2. The functional is PBE.

Geometry as POSCAR:
```
MoAsRu2
1.0
-2.296 -0.928 1.571
-1.303 -2.617 -3.449
2.448 -3.335 1.606
As Ru Mo
1 2 1
Direct
0.500 0.000 0.500 As
0.500 0.500 0.000 Ru
0.000 0.000 0.000 Ru
0.000 0.500 0.500 Mo
```

Results
* symmetry: No. 47
* DFT total energy: -33.48 eV for the cell shown
* crystal system: orthorhombic

This record from Alexandria via LeMat-Bulk describes an optimized crystal structure of MoAsRu2. The functional is PBE.

Geometry as POSCAR:
```
MoAsRu2
1.0
-3.142 -1.457 -3.840
0.736 -4.679 -2.073
-1.095 2.705 4.268
Mo Ru As
1 2 1
Direct
0.272 0.772 0.500 Mo
0.001 0.001 0.000 Ru
0.721 0.221 0.500 Ru
0.506 0.506 0.000 As
```

Results
* symmetry: No. 44
* DFT total energy: -34.07 eV for the cell shown
* crystal system: orthorhombic

This record from Alexandria via LeMat-Bulk describes an optimized crystal structure of Mo2AsRu. The functional is PBE.

Geometry as POSCAR:
```
Mo2AsRu
1.0
-2.472 -1.759 3.804
3.430 -2.834 -1.972
1.974 1.128 1.807
Ru Mo As
1 2 1
Direct
0.500 0.000 0.500 Ru
0.000 0.000 0.000 Mo
0.500 0.500 0.000 Mo
0.000 0.500 0.500 As
```

Results
* symmetry: No. 65
* DFT total energy: -35.02 eV for the cell shown
* crystal system: orthorhombic

This record from Alexandria via LeMat-Bulk describes an optimized crystal structure of Mo2AsRu. The functional is PBE.

Geometry as POSCAR:
```
Mo2AsRu
1.0
-3.560 -0.192 -2.094
0.907 -2.348 -1.327
-1.315 -4.768 2.672
Mo As Ru
2 1 1
Direct
0.000 0.960 0.997 Mo
0.000 0.540 0.503 Mo
0.500 0.750 0.750 As
0.500 0.250 0.250 Ru
```

Results
* symmetry: No. 10
* DFT total energy: -35.38 eV for the cell shown
* crystal system: monoclinic

This record from Alexandria via LeMat-Bulk describes an optimized crystal structure of MoAsRu. The functional is PBE.

Geometry as POSCAR:
```
MoAsRu
1.0
-0.600 -2.973 0.562
1.188 0.479 -4.614
6.148 -0.695 2.880
As Mo Ru
2 2 2
Direct
0.396 0.292 0.725 As
0.604 0.708 0.275 As
0.865 0.232 0.037 Mo
0.135 0.768 0.963 Mo
0.664 0.827 0.646 Ru
0.336 0.173 0.354 Ru
```

Results
* symmetry: No. 2
* DFT total energy: -49.97 eV for the cell shown
* crystal system: triclinic

This record from Alexandria via LeMat-Bulk describes an optimized crystal structure of MoAsRu2. The functional is PBE.

Geometry as POSCAR:
```
MoAsRu2
1.0
-1.600 2.303 -0.008
-1.251 -2.324 -0.947
-2.640 -1.807 7.920
Ru Mo As
2 1 1
Direct
0.000 0.000 0.495 Ru
0.000 0.000 0.005 Ru
0.500 0.500 0.750 Mo
0.500 0.500 0.250 As
```

Results
* symmetry: No. 65
* DFT total energy: -32.74 eV for the cell shown
* crystal system: orthorhombic

This record from Alexandria via LeMat-Bulk describes an optimized crystal structure of MoAsRu2. The functional is PBE.

Geometry as POSCAR:
```
MoAsRu2
1.0
4.707 -0.009 -0.011
3.856 2.699 -0.011
0.373 0.117 4.657
Mo As Ru
1 1 2
Direct
0.250 0.250 0.250 Mo
0.750 0.750 0.750 As
0.511 0.511 0.493 Ru
0.989 0.989 0.007 Ru
```

Results
* symmetry: No. 12
* DFT total energy: -33.65 eV for the cell shown
* crystal system: monoclinic

This record from Alexandria via LeMat-Bulk describes an optimized crystal structure of MoAsRu2. The functional is PBE.

Geometry as POSCAR:
```
MoAsRu2
1.0
-3.247 2.731 -2.130
0.479 -0.359 -4.709
-0.374 -3.290 3.401
Ru Mo As
2 1 1
Direct
0.000 0.000 0.000 Ru
0.500 0.500 0.000 Ru
0.750 0.250 0.500 Mo
0.250 0.750 0.500 As
```

Results
* symmetry: No. 139
* DFT total energy: -33.69 eV for the cell shown
* crystal system: tetragonal

This record from Alexandria via LeMat-Bulk describes an optimized crystal structure of Mo2AsRu. The functional is PBE.

Geometry as POSCAR:
```
Mo2AsRu
1.0
3.126 0.000 0.000
0.000 3.126 0.000
0.000 0.000 6.260
As Ru Mo
1 1 2
Direct
0.500 0.500 0.765 As
0.000 0.000 0.494 Ru
0.000 0.000 0.987 Mo
0.500 0.500 0.254 Mo
```

Results
* symmetry: No. 99
* DFT total energy: -35.38 eV for the cell shown
* crystal system: tetragonal

This record from Alexandria via LeMat-Bulk describes an optimized crystal structure of MoAsRu2. The functional is PBE.

Geometry as POSCAR:
```
MoAsRu2
1.0
2.801 0.026 0.000
-1.211 2.526 0.000
0.000 0.000 8.558
Ru Mo As
2 1 1
Direct
0.000 0.000 0.998 Ru
0.500 0.500 0.262 Ru
0.500 0.500 0.750 Mo
0.000 0.000 0.491 As
```

Results
* symmetry: No. 35
* DFT total energy: -32.29 eV for the cell shown
* crystal system: orthorhombic

This record from Alexandria via LeMat-Bulk describes an optimized crystal structure of Mo2AsRu. The functional is PBE.

Geometry as POSCAR:
```
Mo2AsRu
1.0
-0.162 -2.980 4.052
3.078 -3.981 -0.008
0.429 4.937 -0.875
Mo Ru As
2 1 1
Direct
0.000 0.000 0.000 Mo
0.500 0.500 0.000 Mo
0.250 0.750 0.500 Ru
0.750 0.250 0.500 As
```

Results
* symmetry: No. 139
* DFT total energy: -35.38 eV for the cell shown
* crystal system: tetragonal

This record from Alexandria via LeMat-Bulk describes an optimized crystal structure of Mo2AsRu. The functional is PBE.

Geometry as POSCAR:
```
Mo2AsRu
1.0
-2.203 2.420 -7.891
-4.442 0.641 -7.269
-4.504 3.433 -6.396
Mo As Ru
2 1 1
Direct
0.248 0.248 0.248 Mo
0.002 0.002 0.002 Mo
0.750 0.750 0.750 As
0.500 0.500 0.500 Ru
```

Results
* symmetry: No. 160
* DFT total energy: -34.82 eV for the cell shown
* crystal system: trigonal

This record from Alexandria via LeMat-Bulk describes an optimized crystal structure of MoAsRu2. The functional is PBE.

Geometry as POSCAR:
```
MoAsRu2
1.0
8.595 0.001 0.001
8.122 2.811 0.001
8.122 1.367 2.457
Ru Mo As
2 1 1
Direct
0.997 0.997 0.997 Ru
0.503 0.503 0.503 Ru
0.750 0.750 0.750 Mo
0.250 0.250 0.250 As
```

Results
* symmetry: No. 166
* DFT total energy: -33.67 eV for the cell shown
* crystal system: trigonal

This record from Alexandria via LeMat-Bulk describes an optimized crystal structure of MoAsRu2. The functional is PBE.

Geometry as POSCAR:
```
MoAsRu2
1.0
-0.837 3.712 -1.496
-2.716 -0.307 0.759
-0.425 1.896 4.942
Ru As Mo
2 1 1
Direct
0.000 0.380 0.491 Ru
0.000 0.120 0.009 Ru
0.500 0.250 0.250 As
0.500 0.750 0.750 Mo
```

Results
* symmetry: No. 10
* DFT total energy: -33.98 eV for the cell shown
* crystal system: monoclinic